No. 1
Compound: K2CoNiPd
Source: Alexandria
Functional: PBE
Structure: relaxed

Structure (extended XYZ):
```
5
Lattice="6.015 0.000 0.000 0.000 6.015 0.000 0.000 0.000 4.604" Properties=species:S:1:pos:R:3 pbc="T T T"
K 0.000 3.007 0.000
K 3.007 0.000 0.000
Co 0.000 0.000 2.302
Ni 3.007 3.007 0.000
Pd 3.007 3.007 2.302
```

## Properties
Its total magnetic moment is 2.34 μB/f.u. The formation energy comes out at 5.81 eV/f.u.

No. 2
Compound: KCoNi2Pt
Source: Alexandria
Functional: PBE
Structure: relaxed

Structure (extended XYZ):
```
5
Lattice="4.494 0.000 0.000 0.000 4.494 0.000 0.000 0.000 4.720" Properties=species:S:1:pos:R:3 pbc="T T T"
K 0.000 0.000 0.000
Co 2.247 2.247 2.360
Ni 0.000 2.247 2.360
Ni 2.247 0.000 2.360
Pt 2.247 2.247 0.000
```

## Properties
Its total magnetic moment is 3.66 μB/f.u. The formation energy comes out at 3.65 eV/f.u.

No. 3
Compound: K2RbCoNi
Source: Alexandria
Functional: PBE
Structure: relaxed

Structure (extended XYZ):
```
5
Lattice="6.414 0.000 0.000 0.000 6.414 0.000 0.000 0.000 4.530" Properties=species:S:1:pos:R:3 pbc="T T T"
K 0.000 3.207 0.000
K 3.207 0.000 0.000
Rb 0.000 0.000 2.265
Co 3.207 3.207 0.000
Ni 3.207 3.207 2.265
```

## Properties
Its total magnetic moment is 2.15 μB/f.u. The formation energy comes out at 3.62 eV/f.u.

No. 4
Compound: KScCo2Ni
Source: Alexandria
Functional: PBE
Structure: relaxed

Structure (extended XYZ):
```
5
Lattice="4.466 0.000 0.000 0.000 4.466 0.000 0.000 0.000 5.452" Properties=species:S:1:pos:R:3 pbc="T T T"
K 0.000 0.000 0.000
Sc 0.000 0.000 2.726
Co 0.000 2.233 2.726
Co 2.233 0.000 2.726
Ni 2.233 2.233 0.000
```

## Properties
Its total magnetic moment is 1.64 μB/f.u. The formation energy comes out at 7.94 eV/f.u.

No. 5
Compound: K2CoNiSe4
Source: Alexandria
Functional: PBE
Structure: relaxed

Structure (extended XYZ):
```
16
Lattice="0.000 6.584 11.282 2.813 0.000 11.282 2.813 6.584 0.000" Properties=species:S:1:pos:R:3 pbc="T T T"
K 2.110 4.938 1.310
K 3.517 8.230 6.951
K 2.110 4.938 15.613
K 3.517 8.230 21.254
Co 2.110 4.938 8.462
Co 3.517 8.230 14.103
Ni 0.703 1.646 2.821
Ni 4.924 11.522 19.744
Se 2.159 2.911 4.121
Se 3.468 6.203 9.762
Se 2.061 6.965 4.121
Se 2.061 2.911 12.803
Se 3.566 10.257 9.762
Se 3.566 6.203 18.444
Se 2.159 6.965 12.803
Se 3.468 10.257 18.444
```

## Properties
For the uncorrected formation energy, the calculation gives -587 meV/atom. Its total magnetic moment is 0.00 μB/f.u.

These records have density of states at the Fermi level values of 14.83; 4.26; 4.13; 3.41; 11.59 states/eV/cell, in the order they appear.